{"formula": "CsCuCl4", "functional": "PBE-GGA", "state": "optimized geometry", "e_form_raw_ev_per_fu": -4.4, "magnetic_moment_mub_per_fu": 1.81, "n_ef_per_ev_atom": 1.72, "energy_ev_per_atom": -2.791, "lattice_angstrom": [[4.9960, -5.1094, 0.0000], [4.9960, 5.1094, 0.0000], [0.0000, 0.0000, 3.8838]], "species": ["Cs", "Cu", "Cl", "Cl", "Cl", "Cl"], "frac_coords": [[0.0000, 0.0000, 0.0000], [0.5000, 0.5000, 0.5000], [0.2746, 0.2746, 0.5000], [0.3448, 0.6552, 0.0000], [0.6552, 0.3448, 0.0000], [0.7254, 0.7254, 0.5000]]}

{"formula": "CsCu4Cl8", "functional": "PBE-GGA", "state": "optimized geometry", "de_polymorph_mev_per_atom": 0.0, "e_form_raw_ev_per_fu": -9.6, "magnetic_moment_mub_per_fu": 2.96, "n_ef_per_ev_atom": 0.94, "energy_ev_per_atom": -3.203, "lattice_angstrom": [[6.5799, 0.0000, 0.0000], [-3.2899, 5.6984, 0.0000], [0.0000, 0.0000, 9.5117]], "species": ["Cs", "Cu", "Cu", "Cu", "Cu", "Cl", "Cl", "Cl", "Cl", "Cl", "Cl", "Cl", "Cl"], "frac_coords": [[0.0000, 0.0000, 0.0000], [0.3333, 0.6667, 0.2448], [0.3333, 0.6667, 0.7552], [0.6667, 0.3333, 0.2448], [0.6667, 0.3333, 0.7552], [0.0000, 0.3419, 0.6895], [0.0000, 0.6581, 0.3105], [0.3333, 0.6667, 0.0000], [0.3419, 0.0000, 0.6895], [0.3419, 0.3419, 0.3105], [0.6581, 0.0000, 0.3105], [0.6581, 0.6581, 0.6895], [0.6667, 0.3333, 0.0000]]}

{"formula": "Cs3Cu2Cl6", "functional": "PBE-GGA", "state": "optimized geometry", "e_form_raw_ev_per_fu": -14.4, "magnetic_moment_mub_per_fu": 0.00, "n_ef_per_ev_atom": 0.75, "energy_ev_per_atom": -3.296, "lattice_angstrom": [[-2.4323, 2.4323, 14.2576], [2.4323, -2.4323, 14.2576], [2.4323, 2.4323, -14.2576]], "species": ["Cs", "Cs", "Cs", "Cu", "Cu", "Cl", "Cl", "Cl", "Cl", "Cl", "Cl"], "frac_coords": [[0.0000, 0.0000, 0.0000], [0.1826, 0.1826, 0.0000], [0.8174, 0.8174, 0.0000], [0.3946, 0.3946, 0.0000], [0.6054, 0.6054, 0.0000], [0.0889, 0.5889, 0.5000], [0.3096, 0.3096, 0.0000], [0.4111, 0.9111, 0.5000], [0.5889, 0.0889, 0.5000], [0.6904, 0.6904, 0.0000], [0.9111, 0.4111, 0.5000]]}